# CePmN (PBE, optimized geometry)
# energy relative to the elements, uncorrected	-375	meV per atom
# energy above the most stable polymorph in this dataset	504.2	meV per atom
# magnetic moment	0.49	μB per formula unit
data_CePmN
_space_group_name_H-M_alt 'P 1'
_space_group_IT_number 1
_cell_length_a 4.3419
_cell_length_b 4.3419
_cell_length_c 4.3419
_cell_angle_alpha 60.00
_cell_angle_beta 60.00
_cell_angle_gamma 60.00
loop_
_space_group_symop_operation_xyz
'x,y,z'
loop_
_atom_site_label
_atom_site_fract_x
_atom_site_fract_y
_atom_site_fract_z
Ce1 0.0000 0.0000 0.0000
Pm1 0.5000 0.5000 0.5000
N1 0.7500 0.7500 0.7500